(w)
Computed, not measured: an optimized crystal structure of In2CuBr at the PBE level of DFT.

Summary:
SG: F-43m
D(E_F) in states/eV/cell: 1.2
Crystal system: cubic

Structure (POSCAR):
```
In2CuBr
1.0
-2.713 -4.344 -1.179
2.376 -4.000 -2.445
0.947 -4.474 2.590
Cu In Br
1 2 1
Direct
0.750 0.750 0.750 Cu
0.000 0.000 0.000 In
0.250 0.250 0.250 In
0.500 0.500 0.500 Br
```


(x)
Computed, not measured: an optimized crystal structure of In2CuBr at the PBE level of DFT.

Summary:
SG: C2/m
D(E_F) in states/eV/cell: 0.7
Crystal system: monoclinic

Structure (POSCAR):
```
In2CuBr
1.0
-3.027 1.375 2.066
0.076 -0.116 3.912
2.215 7.247 2.129
Cu Br In
1 1 2
Direct
0.250 0.250 0.250 Cu
0.750 0.750 0.750 Br
0.983 0.983 0.052 In
0.517 0.517 0.448 In
```


On energetic grounds, (x) is preferred over the next structure by 374 meV per atom.


(w)
Computed, not measured: an optimized crystal structure of In2CuBr at the PBE level of DFT.

Summary:
SG: C2/m
D(E_F) in states/eV/cell: 1.1
Crystal system: monoclinic

Structure (POSCAR):
```
In2CuBr
1.0
-5.309 -3.378 -4.429
3.526 -2.365 3.396
-2.340 -1.321 2.081
Br In Cu
1 2 1
Direct
0.000 0.500 0.500 Br
0.000 0.000 0.000 In
0.500 0.000 0.500 In
0.500 0.500 0.000 Cu
```


(x)
Computed, not measured: an optimized crystal structure of In2CuBr at the PBE level of DFT.

Summary:
SG: Cmm2
D(E_F) in states/eV/cell: 1.0
Crystal system: orthorhombic

Structure (POSCAR):
```
In2CuBr
1.0
-0.787 -3.221 -1.277
0.499 -0.005 3.518
-8.420 1.584 1.197
Br In Cu
1 2 1
Direct
0.000 0.000 0.563 Br
0.500 0.500 0.243 In
0.000 0.000 0.952 In
0.500 0.500 0.743 Cu
```


On energetic grounds, (x) is preferred over the next structure by 52 meV per atom.


(w)
Computed, not measured: an optimized crystal structure of In2CuBr at the PBE level of DFT.

Summary:
SG: Cmmm
D(E_F) in states/eV/cell: 1.4
Crystal system: orthorhombic

Structure (POSCAR):
```
In2CuBr
1.0
5.477 0.071 0.000
-0.061 5.477 0.000
0.000 0.000 3.284
Cu Br In
1 1 2
Direct
0.000 0.500 0.500 Cu
0.500 0.000 0.500 Br
0.500 0.500 0.000 In
0.000 0.000 0.000 In
```


(x)
Computed, not measured: an optimized crystal structure of In2CuBr at the PBE level of DFT.

Summary:
SG: Cm
D(E_F) in states/eV/cell: 1.6
Crystal system: monoclinic

Structure (POSCAR):
```
In2CuBr
1.0
6.194 0.046 0.035
5.262 3.267 0.035
2.650 0.766 5.009
In Cu Br
2 1 1
Direct
0.956 0.956 0.046 In
0.734 0.734 0.789 In
0.249 0.249 0.212 Cu
0.561 0.561 0.453 Br
```


(y)
Computed, not measured: an optimized crystal structure of In2CuBr at the PBE level of DFT.

Summary:
SG: Pmmm
D(E_F) in states/eV/cell: 1.4
Crystal system: orthorhombic

Structure (POSCAR):
```
In2CuBr
1.0
-2.824 0.143 2.124
3.225 -2.683 4.470
1.396 4.287 1.567
In Br Cu
2 1 1
Direct
0.000 0.000 0.000 In
0.500 0.500 0.000 In
0.500 0.000 0.500 Br
0.000 0.500 0.500 Cu
```


On energetic grounds, (x) is preferred over the next structure by 52 meV per atom.


(w)
Computed, not measured: an optimized crystal structure of In2CuBr at the PBE level of DFT.

Summary:
SG: Immm
D(E_F) in states/eV/cell: 1.6
Crystal system: orthorhombic

Structure (POSCAR):
```
In2CuBr
1.0
5.700 0.055 0.007
1.345 5.539 -0.007
-2.676 -3.862 3.227
In Br Cu
2 1 1
Direct
0.459 0.459 0.000 In
0.041 0.041 0.000 In
0.750 0.250 0.500 Br
0.250 0.750 0.500 Cu
```


(x)
Computed, not measured: an optimized crystal structure of In2CuBr at the PBE level of DFT.

Summary:
SG: I-42d
D(E_F) in states/eV/cell: 0.4
Crystal system: tetragonal

Structure (POSCAR):
```
In2CuBr
1.0
6.457 0.000 0.000
0.000 6.457 0.000
3.228 3.228 6.628
In Br Cu
4 2 2
Direct
0.199 0.625 0.250 In
0.375 0.449 0.750 In
0.875 0.801 0.750 In
0.551 0.125 0.250 In
0.750 0.250 0.500 Br
0.000 0.000 0.000 Br
0.500 0.500 0.000 Cu
0.250 0.750 0.500 Cu
```


(y)
Computed, not measured: an optimized crystal structure of In2CuBr at the PBE level of DFT.

Summary:
SG: Pm
D(E_F) in states/eV/cell: 0.8
Crystal system: monoclinic

Structure (POSCAR):
```
In2CuBr
1.0
-1.634 4.983 -0.405
-3.590 -1.200 -0.282
-2.279 -0.313 5.349
Cu In Br
1 2 1
Direct
0.500 0.864 0.898 Cu
0.000 0.879 0.869 In
0.500 0.167 0.294 In
0.000 0.590 0.438 Br
```


On energetic grounds, (y) is preferred over the next structure by 20 meV per atom.


(w)
Computed, not measured: an optimized crystal structure of In2CuBr at the PBE level of DFT.

Summary:
SG: P2/m
D(E_F) in states/eV/cell: 0.6
Crystal system: monoclinic

Structure (POSCAR):
```
In2CuBr
1.0
-2.025 1.551 -2.483
-0.162 -2.902 -1.680
-6.579 -2.000 4.117
Cu In Br
1 2 1
Direct
0.500 0.750 0.750 Cu
0.000 0.251 0.948 In
0.000 0.249 0.552 In
0.500 0.250 0.250 Br
```


(x)
Computed, not measured: an optimized crystal structure of In2CuBr at the PBE level of DFT.

Summary:
SG: Cmmm
D(E_F) in states/eV/cell: 1.0
Crystal system: orthorhombic

Structure (POSCAR):
```
In2CuBr
1.0
3.563 -0.131 0.000
-0.219 3.558 0.000
0.000 0.000 7.595
Cu In Br
1 2 1
Direct
0.500 0.500 0.750 Cu
0.000 0.000 0.545 In
0.000 0.000 0.955 In
0.500 0.500 0.250 Br
```


On energetic grounds, (w) is preferred over the next structure by 31 meV per atom.


(w)
Computed, not measured: an optimized crystal structure of In2CuBr at the PBE level of DFT.

Summary:
SG: I-4m2
D(E_F) in states/eV/cell: 1.0
Crystal system: tetragonal

Structure (POSCAR):
```
In2CuBr
1.0
-5.374 -3.610 -0.950
-0.704 -6.233 1.861
1.950 5.841 2.212
In Cu Br
2 1 1
Direct
0.250 0.750 0.500 In
0.000 0.000 0.000 In
0.750 0.250 0.500 Cu
0.500 0.500 0.000 Br
```


(x)
Computed, not measured: an optimized crystal structure of In2CuBr at the PBE level of DFT.

Summary:
SG: P4mm
D(E_F) in states/eV/cell: 1.0
Crystal system: tetragonal

Structure (POSCAR):
```
In2CuBr
1.0
-0.333 0.739 -3.698
-3.388 -1.689 -0.032
-3.358 6.705 1.642
Br In Cu
1 2 1
Direct
0.000 0.000 0.472 Br
0.500 0.500 0.252 In
0.000 0.000 0.868 In
0.500 0.500 0.908 Cu
```


(y)
Computed, not measured: an optimized crystal structure of In2CuBr at the PBE level of DFT.

Summary:
SG: Fm-3m
D(E_F) in states/eV/cell: 0.6
Crystal system: cubic

Structure (POSCAR):
```
In2CuBr
1.0
-2.662 -4.353 1.405
-3.581 0.229 3.890
-5.155 -0.426 -1.120
In Br Cu
2 1 1
Direct
0.750 0.750 0.750 In
0.250 0.250 0.250 In
0.500 0.500 0.500 Br
0.000 0.000 0.000 Cu
```


On energetic grounds, (x) is preferred over the next structure by 196 meV per atom.